# 1
Crystalline ScReP2 at its relaxed geometry, computed with GGA-PBE.

The space group is Pmmm (No. 47) and the conventional cell measures 3.381, 3.993 and 4.794 Å, with angles of 90.00, 90.00 and 90.00 degrees. The inequivalent atoms are Sc at (0.000, 0.000, 0.000), Re at (0.500, 0.000, 0.500) and P at (0.500, 0.500, 0.229).

For the excess energy over the best structure of this formula in the dataset, the calculation gives 0.155 eV/atom. As for the volume: 16.18 Å³/atom. As for the total energy: -7.976 eV per atom. For the density, the calculation gives 7.5 g cm⁻³. Its formation energy is -56 kJ per mole of atoms.


# 2
Crystalline Th2InPb5 at its relaxed geometry, computed with GGA-PBE.

The space group is Pbam (No. 55) and the conventional cell measures 6.835, 13.654 and 4.976 Å, with angles of 90.00, 90.00 and 90.00 degrees. The inequivalent atoms are Th at (0.237, 0.127, 0.000), In at (0.000, 0.500, 0.500), Pb at (0.000, 0.000, 0.500), Pb at (0.013, 0.748, 0.500) and Pb at (0.236, 0.379, 0.000).

As for the volume: 29.03 Å³/atom. As for the total energy: -4.766 eV per atom. For the density, the calculation gives 11.5 g cm⁻³. Its formation energy is -24 kJ per mole of atoms.


# 3
Crystalline RbYOs2Rh at its relaxed geometry, computed with GGA-PBE.

The space group is P4/mmm (No. 123) and the conventional cell measures 4.827, 4.827 and 5.212 Å, with angles of 90.00, 90.00 and 90.00 degrees. The inequivalent atoms are Rb at (0.000, 0.000, 0.000), Y at (0.500, 0.500, 0.000), Os at (0.000, 0.500, 0.500) and Rh at (0.000, 0.000, 0.500).

As for the volume: 24.29 Å³/atom. As for the total energy: -5.872 eV per atom. For the density, the calculation gives 9.0 g cm⁻³. Its formation energy is 152 kJ per mole of atoms.


# 4
Crystalline BiN2Cl at its relaxed geometry, computed with GGA-PBE.

The space group is R-3m (No. 166, hexagonal axes) and the conventional cell measures 3.5598, 3.5598 and 18.7741 Å, with angles of 90.00, 90.00 and 120.00 degrees. The inequivalent atoms are Bi at (0.0000, 0.0000, 0.0000), N at (0.0000, 0.0000, 0.3936) and Cl at (0.0000, 0.0000, 0.5000).

For the excess energy over the best structure of this formula in the dataset, the calculation gives 1.263 eV/atom. As for the volume: 17.17 Å³/atom. As for the total energy: -4.551 eV per atom. The uncorrected formation energy is 1044 meV per atom. For the density, the calculation gives 6.6 g cm⁻³.


# 5
Crystalline AsRh at its relaxed geometry, computed with GGA-PBE.

The space group is Pm-3n (No. 223) and the conventional cell measures 6.754, 6.754 and 6.754 Å, with angles of 90.00, 90.00 and 90.00 degrees. The inequivalent atoms are As at (0.000, 0.250, 0.500) and Rh at (0.000, 0.500, 0.250).

As for the volume: 25.67 Å³/atom. As for the total energy: -6.018 eV per atom. For the density, the calculation gives 5.8 g cm⁻³. Its formation energy is -2 kJ per mole of atoms.


# 6
Crystalline SmGe4Pd12 at its relaxed geometry, computed with GGA-PBE.

The space group is Im-3 (No. 204) and the conventional cell measures 8.538, 8.538 and 8.538 Å, with angles of 90.00, 90.00 and 90.00 degrees. The inequivalent atoms are Sm at (0.000, 0.000, 0.000), Ge at (0.250, 0.250, 0.250) and Pd at (0.000, 0.161, 0.343).

As for the volume: 18.31 Å³/atom. As for the total energy: -5.326 eV per atom. For the density, the calculation gives 9.2 g cm⁻³. Its formation energy is -29 kJ per mole of atoms.


# 7
Crystalline YTa3Pd at its relaxed geometry, computed with GGA-PBE.

The space group is Pm-3m (No. 221) and the conventional cell measures 4.923, 4.923 and 4.923 Å, with angles of 90.00, 90.00 and 90.00 degrees. The inequivalent atoms are Y at (0.000, 0.000, 0.000), Ta at (0.000, 0.500, 0.500) and Pd at (0.500, 0.500, 0.500).

For the excess energy over the best structure of this formula in the dataset, the calculation gives 0.000 eV/atom. As for the volume: 23.86 Å³/atom. As for the total energy: -8.363 eV per atom. For the density, the calculation gives 10.3 g cm⁻³. Its formation energy is 104 kJ per mole of atoms.


# 8
Crystalline BaAc6Pr5 at its relaxed geometry, computed with GGA-PBE.

The space group is Cmmm (No. 65) and the conventional cell measures 5.508, 16.749 and 10.899 Å, with angles of 90.00, 90.00 and 90.00 degrees. The inequivalent atoms are Ba at (0.000, 0.000, 0.000), Ac at (0.000, 0.169, 0.256), Ac at (0.000, 0.500, 0.263), Pr at (0.000, 0.000, 0.500), Pr at (0.000, 0.325, 0.000) and Pr at (0.000, 0.333, 0.500).

As for the volume: 41.89 Å³/atom. As for the total energy: -4.155 eV per atom. For the density, the calculation gives 7.3 g cm⁻³. Its formation energy is 5 kJ per mole of atoms.


- Which value of total energy does entry 1 give?
  -7.976 eV per atom


- Look up the density of the first one.
  7.5 g cm⁻³


- Which of these has the highest density?
  Th2InPb5